Pm8HgGe5: optimized geometry, PBE.

Computed properties:
spin magnetization	0.001	μB/atom
VASP energy	-5.12	eV/atom

a b c (Å): 7.920 7.920 7.920
angles (deg): 109.53 109.53 109.36
Atoms (fractional coordinates):
1 Pm 0.003 0.886 0.259
2 Pm 0.114 0.373 0.118
3 Pm 0.115 0.375 0.607
4 Pm 0.255 0.997 0.882
5 Pm 0.492 0.885 0.260
6 Pm 0.625 0.232 0.740
7 Pm 0.627 0.745 0.741
8 Pm 0.768 0.508 0.393
9 Hg 0.500 0.500 0.000
10 Ge 0.250 0.750 0.500
11 Ge 0.377 0.256 0.376
12 Ge 0.744 0.120 0.121
13 Ge 0.880 0.001 0.624
14 Ge 0.999 0.623 0.879